This record from Alexandria via LeMat-Bulk describes crystalline Ac3Pr7Sm at its relaxed geometry. The functional is PBE-GGA.

Calculated values
E_form: 0.240 eV per atom

a = 6.0835 Å, b = 8.9854 Å, c = 8.9854 Å
α = 82.74°, β = 109.77°, γ = 109.77°
Last column: nearest neighbours and their distance in Å.
Positions (direct):
Ac  0.0000  0.7889  0.2111  5 Pr 3.43-3.71
Ac  0.5000  0.0000  0.0000  4 Pr 3.46
Ac  0.0000  0.2111  0.7889  5 Pr 3.43-3.71
Pr  0.2144  0.2146  0.2146  1 Sm 3.44, 2 Ac 3.60, 2 Pr 3.63
Pr  0.7024  0.9961  0.4089  3 Pr 3.41-3.63, 2 Ac 3.46-3.71
Pr  0.7856  0.7854  0.7854  1 Sm 3.44, 2 Ac 3.60, 2 Pr 3.63
Pr  0.7024  0.4089  0.9961  3 Pr 3.41-3.63, 2 Ac 3.46-3.71
Pr  0.2976  0.0039  0.5911  3 Pr 3.41-3.63, 2 Ac 3.46-3.71
Pr  0.0000  0.5000  0.5000  2 Sm 3.04
Pr  0.2976  0.5911  0.0039  3 Pr 3.41-3.63, 2 Ac 3.46-3.71
Sm  0.5000  0.5000  0.5000  2 Pr 3.04


This record from Alexandria via LeMat-Bulk describes crystalline LaMg2AlAg2 at its relaxed geometry. The functional is PBE-GGA.

Calculated values
E_form: 0.048 eV per atom

a = 4.6190 Å, b = 4.6190 Å, c = 8.2497 Å
α = 106.26°, β = 106.26°, γ = 90.00°
Last column: nearest neighbours and their distance in Å.
Positions (direct):
La  0.5000  0.5000  0.0000  4 Al 3.27
Mg  0.7500  0.2500  0.5000  4 Ag 2.69
Mg  0.2500  0.7500  0.5000  4 Ag 2.69
Ag  0.8416  0.8416  0.6833  1 Al 2.40
Ag  0.1584  0.1584  0.3167  1 Al 2.40
Al  0.0000  0.0000  0.0000  2 Ag 2.40


This record from Alexandria via LeMat-Bulk describes crystalline TaFeCu at its relaxed geometry. The functional is PBE-GGA.

Calculated values
E_form: 0.033 eV per atom

a = 4.6771 Å, b = 4.6771 Å, c = 4.6771 Å
α = 140.48°, β = 140.49°, γ = 57.12°
Last column: nearest neighbours and their distance in Å.
Positions (direct):
Cu  0.0036  0.0036  0.0000  5 Fe 2.63-2.72, 5 Ta 2.64-2.68
Fe  0.6721  0.6721  0.0000  5 Ta 2.56-2.86, 5 Cu 2.63-2.72
Ta  0.3243  0.3243  0.0000  5 Fe 2.56-2.86, 5 Cu 2.64-2.68


This record from Alexandria via LeMat-Bulk describes crystalline AlAsPb4 at its relaxed geometry. The functional is PBE-GGA.

Calculated values
E_form: 0.499 eV per atom

a = 6.3950 Å, b = 6.3950 Å, c = 6.3950 Å
α = 60.00°, β = 60.00°, γ = 60.00°
Last column: nearest neighbours and their distance in Å.
Positions (direct):
Pb  0.8745  0.3752  0.3752  6 Pb 3.19-3.20
Pb  0.3752  0.8745  0.3752  6 Pb 3.19-3.20
Pb  0.3752  0.3752  0.3752  6 Pb 3.19-3.20
Pb  0.3752  0.3752  0.8745  6 Pb 3.19-3.20
As  0.0000  0.0000  0.0000  12 Pb 3.75, 4 Al 3.92
Al  0.7500  0.7500  0.7500  12 Pb 3.75, 4 As 3.92


This record from Alexandria via LeMat-Bulk describes crystalline Tl2Cd7In2 at its relaxed geometry. The functional is PBE-GGA.

Calculated values
E_form: 0.040 eV per atom

a = 5.9257 Å, b = 7.5101 Å, c = 7.5101 Å
α = 84.81°, β = 67.78°, γ = 67.78°
Last column: nearest neighbours and their distance in Å.
Positions (direct):
Tl  0.0000  0.8240  0.1760  8 Cd 3.25-3.58, 1 Tl 3.57, 2 In 3.62
Tl  0.0000  0.1760  0.8240  8 Cd 3.25-3.58, 1 Tl 3.57, 2 In 3.62
Cd  0.3108  0.9265  0.4127  4 Cd 2.95-3.25, 2 In 3.01-3.21, 1 Tl 3.25
Cd  0.6892  0.0735  0.5873  4 Cd 2.95-3.25, 2 In 3.01-3.21, 1 Tl 3.25
Cd  0.3108  0.4127  0.9265  4 Cd 2.95-3.25, 2 In 3.01-3.21, 1 Tl 3.25
Cd  0.9085  0.3792  0.3792  3 In 2.99-3.15, 2 Cd 3.08
Cd  0.5000  0.0000  0.0000  4 Cd 2.95, 2 In 3.20
Cd  0.6892  0.5873  0.0735  4 Cd 2.95-3.25, 2 In 3.01-3.21, 1 Tl 3.25
Cd  0.0915  0.6208  0.6208  3 In 2.99-3.15, 2 Cd 3.08
In  0.5249  0.7051  0.7051  8 Cd 2.99-3.21
In  0.4751  0.2949  0.2949  8 Cd 2.99-3.21


This record from Alexandria via LeMat-Bulk describes crystalline LaPb3Se at its relaxed geometry. The functional is PBE-GGA.

Calculated values
energy relative to the elements, uncorrected: 0.12 eV/f.u.

a = 5.6425 Å, b = 5.6425 Å, c = 5.6425 Å
α = 90.00°, β = 90.00°, γ = 90.00°
Last column: nearest neighbours and their distance in Å.
Positions (direct):
Pb  0.0000  0.5000  0.0000  2 Se 2.82
Pb  0.0000  0.0000  0.5000  2 Se 2.82
Pb  0.5000  0.0000  0.0000  2 Se 2.82
Se  0.0000  0.0000  0.0000  6 Pb 2.82
La  0.5000  0.5000  0.5000  12 Pb 3.99


This record from Alexandria via LeMat-Bulk describes crystalline CsCuGeI4 at its relaxed geometry. The functional is PBE-GGA.

Calculated values
energy relative to the elements, uncorrected: -4.25 eV/f.u.

a = 6.3031 Å, b = 8.4089 Å, c = 11.2163 Å
α = 90.00°, β = 105.30°, γ = 90.00°
Last column: nearest neighbours and their distance in Å.
Positions (direct):
Cu  0.1807  0.7500  0.2952  4 I 2.58-2.71
Cu  0.8193  0.2500  0.7048  4 I 2.58-2.71
I  0.9111  0.5006  0.2987  1 Cu 2.71, 1 Ge 2.96
I  0.2749  0.7500  0.0847  1 Cu 2.58
I  0.0889  0.4994  0.7013  1 Cu 2.71, 1 Ge 2.96
I  0.9111  0.9994  0.2987  1 Cu 2.71, 1 Ge 2.96
I  0.0889  0.0006  0.7013  1 Cu 2.71, 1 Ge 2.96
I  0.7251  0.2500  0.9153  1 Cu 2.58
I  0.5035  0.2500  0.5009  1 Cu 2.61, 1 Ge 2.86
I  0.4965  0.7500  0.4991  1 Cu 2.61, 1 Ge 2.86
Cs  0.6808  0.7500  0.8784  9 I 3.85-4.29
Cs  0.3192  0.2500  0.1216  9 I 3.85-4.29
Ge  0.9456  0.7500  0.4895  5 I 2.86-3.12, 1 Cu 2.94
Ge  0.0544  0.2500  0.5105  5 I 2.86-3.12, 1 Cu 2.94


This record from Alexandria via LeMat-Bulk describes crystalline KCdW2 at its relaxed geometry. The functional is PBE-GGA.

Calculated values
E_form: 1.335 eV per atom

a = 2.7516 Å, b = 5.2154 Å, c = 5.6801 Å
α = 90.00°, β = 90.00°, γ = 90.00°
Last column: nearest neighbours and their distance in Å.
Positions (direct):
W  0.0000  0.0000  0.0000  6 W 2.75-2.95
W  0.5000  0.5000  0.0000  6 W 2.75-2.95
K  0.0000  0.5000  0.5000  2 K 2.75, 4 Cd 2.95
Cd  0.5000  0.0000  0.5000  2 Cd 2.75, 4 K 2.95


This record from Alexandria via LeMat-Bulk describes crystalline Mg2ScSb at its relaxed geometry. The functional is PBE-GGA.

Calculated values
energy relative to the elements, uncorrected: -0.77 eV/f.u.

a = 3.9917 Å, b = 3.9684 Å, c = 5.9550 Å
α = 90.00°, β = 90.00°, γ = 90.00°
Last column: nearest neighbours and their distance in Å.
Positions (direct):
Sb  0.5000  0.5000  0.2500  2 Sc 2.98, 8 Mg 3.18
Sc  0.5000  0.5000  0.7500  2 Sb 2.98, 8 Mg 3.18
Mg  0.0000  0.0000  0.0004  2 Mg 2.97-2.98, 4 Sb 3.18, 4 Sc 3.18
Mg  0.0000  0.0000  0.4996  2 Mg 2.97-2.98, 4 Sb 3.18, 4 Sc 3.18


This record from Alexandria via LeMat-Bulk describes crystalline DySi2Ni2Rh at its relaxed geometry. The functional is PBE-GGA.

Calculated values
energy relative to the elements, uncorrected: -1.15 eV/f.u.

a = 4.4714 Å, b = 4.4714 Å, c = 5.2639 Å
α = 90.00°, β = 90.00°, γ = 90.00°
Last column: nearest neighbours and their distance in Å.
Positions (direct):
Si  0.5000  0.0000  0.0000  2 Rh 2.24
Si  0.0000  0.5000  0.0000  2 Rh 2.24
Dy  0.0000  0.0000  0.5000  2 Rh 2.63
Rh  0.0000  0.0000  0.0000  4 Si 2.24
Ni  0.5000  0.5000  0.7553  2 Ni 2.58-2.69, 4 Si 2.58
Ni  0.5000  0.5000  0.2447  2 Ni 2.58-2.69, 4 Si 2.58


This record from Alexandria via LeMat-Bulk describes crystalline TbZnPt6 at its relaxed geometry. The functional is PBE-GGA.

Calculated values
E_form: -0.415 eV per atom

a = 3.8811 Å, b = 3.8811 Å, c = 9.8218 Å
α = 90.00°, β = 90.00°, γ = 90.00°
Last column: nearest neighbours and their distance in Å.
Positions (direct):
Pt  0.0000  0.5000  0.6772  2 Zn 2.61, 6 Pt 2.72-2.74
Pt  0.5000  0.5000  0.8711  5 Pt 2.53-2.72
Pt  0.5000  0.5000  0.1289  5 Pt 2.53-2.72
Pt  0.0000  0.5000  0.3228  2 Zn 2.61, 6 Pt 2.72-2.74
Pt  0.5000  0.0000  0.3228  2 Zn 2.61, 6 Pt 2.72-2.74
Pt  0.5000  0.0000  0.6772  2 Zn 2.61, 6 Pt 2.72-2.74
Zn  0.0000  0.0000  0.5000  8 Pt 2.61
Tb  0.0000  0.0000  0.0000  8 Pt 3.02


This record from Alexandria via LeMat-Bulk describes crystalline Ho4B3Rh12Pb at its relaxed geometry. The functional is PBE-GGA.

Calculated values
E_form: -0.490 eV per atom

a = 7.5815 Å, b = 7.5815 Å, c = 7.5815 Å
α = 109.47°, β = 109.47°, γ = 109.47°
Last column: nearest neighbours and their distance in Å.
Positions (direct):
Rh  0.2824  0.2824  0.0000  1 B 1.91
Rh  0.2824  0.0000  0.2824  1 B 1.91
Rh  0.7500  0.5000  0.2500  2 B 2.19
Rh  0.2500  0.5000  0.7500  2 B 2.19
Rh  0.0000  0.2824  0.2824  1 B 1.91
Rh  0.7500  0.2500  0.5000  2 B 2.19
Rh  0.7176  0.0000  0.7176  1 B 1.91
Rh  0.5000  0.7500  0.2500  2 B 2.19
Rh  0.7176  0.7176  0.0000  1 B 1.91
Rh  0.5000  0.2500  0.7500  2 B 2.19
Rh  0.0000  0.7176  0.7176  1 B 1.91
Rh  0.2500  0.7500  0.5000  2 B 2.19
B  0.5000  0.5000  0.0000  2 Rh 1.91
B  0.5000  0.0000  0.5000  2 Rh 1.91
B  0.0000  0.5000  0.5000  2 Rh 1.91
Ho  0.5000  0.0000  0.0000  12 Rh 3.10-3.11
Ho  0.0000  0.5000  0.0000  12 Rh 3.10-3.11
Ho  0.5000  0.5000  0.5000  12 Rh 3.10-3.11
Ho  0.0000  0.0000  0.5000  12 Rh 3.10-3.11
Pb  0.0000  0.0000  0.0000  6 Rh 2.47